No. 1
The following is a GGA-PBE calculation of a geometry-optimized Li2GeIr2 structure, from Alexandria via LeMat-Bulk.

a = 6.194 Å, b = 6.194 Å, c = 4.214 Å
α = 90.00°, β = 90.00°, γ = 90.00°
Element x y z (fractional)
Ge  0.000  0.000  0.000
Ge  0.500  0.500  0.000
Ir  0.358  0.858  0.000
Ir  0.858  0.642  0.000
Ir  0.642  0.142  0.000
Ir  0.142  0.358  0.000
Li  0.159  0.659  0.500
Li  0.659  0.841  0.500
Li  0.841  0.341  0.500
Li  0.341  0.159  0.500

Output
formation energy from the elements	-262	meV/atom
ΔE to the lowest computed polymorph	0.011	eV per atom
symmetry	P4/mbm
density of states at the Fermi level	1.879	states/eV/f.u.
VASP energy	-5.496	eV per atom



No. 2
The following is a GGA-PBE calculation of a geometry-optimized HgPbO2 structure, from Alexandria via LeMat-Bulk.

a = 5.358 Å, b = 5.358 Å, c = 6.795 Å
α = 66.78°, β = 66.78°, γ = 90.00°
Element x y z (fractional)
Pb  0.000  0.000  0.000
Pb  0.750  0.250  0.500
Hg  0.500  0.500  0.000
Hg  0.250  0.750  0.500
O  0.611  0.125  0.250
O  0.139  0.625  0.250
O  0.375  0.389  0.750
O  0.875  0.861  0.750

Output
ΔE to the lowest computed polymorph	0.049	eV per atom
symmetry	I-42d
formation energy (no corrections)	-0.5876	eV per atom
density of states at the Fermi level	0.000	states/eV/f.u.
VASP energy	-4.069	eV per atom



No. 3
The following is a GGA-PBE calculation of a geometry-optimized Rb3BeCo structure, from Alexandria via LeMat-Bulk.

a = 6.506 Å, b = 6.506 Å, c = 6.506 Å
α = 90.00°, β = 90.00°, γ = 90.00°
Element x y z (fractional)
Be  0.500  0.500  0.500
Co  0.000  0.000  0.000
Rb  0.000  0.500  0.000
Rb  0.000  0.000  0.500
Rb  0.500  0.000  0.000

Output
formation energy from the elements	1225	meV/atom
ΔE to the lowest computed polymorph	0.000	eV per atom
symmetry	Pm-3m
density of states at the Fermi level	6.057	states/eV/f.u.
VASP energy	-1.522	eV per atom



No. 4
The following is a GGA-PBE calculation of a geometry-optimized La2Tb3Pr5 structure, from Alexandria via LeMat-Bulk.

a = 10.009 Å, b = 10.025 Å, c = 9.478 Å
α = 109.34°, β = 109.26°, γ = 112.00°
Element x y z (fractional)
La  0.970  0.027  0.753
La  0.030  0.973  0.247
La  0.284  0.726  0.753
La  0.716  0.274  0.247
Tb  0.270  0.020  0.039
Tb  0.730  0.980  0.961
Tb  0.517  0.468  0.247
Tb  0.483  0.532  0.753
Tb  0.230  0.779  0.247
Tb  0.770  0.221  0.753
Pr  0.220  0.470  0.940
Pr  0.780  0.530  0.060
Pr  0.984  0.734  0.468
Pr  0.476  0.226  0.453
Pr  0.016  0.266  0.532
Pr  0.524  0.774  0.547
Pr  0.882  0.619  0.759
Pr  0.118  0.381  0.241
Pr  0.377  0.141  0.759
Pr  0.623  0.859  0.241

Output
formation energy from the elements	171	meV/atom
ΔE to the lowest computed polymorph	0.000	eV per atom
symmetry	C2/c
density of states at the Fermi level	17.422	states/eV/f.u.
VASP energy	-4.593	eV per atom



Question: The highest ΔE to the lowest computed polymorph belongs to which entry?
Answer: HgPbO2